# 1
Compound: MgCd2Ge2
Source: Alexandria via LeMat-Bulk
Functional: GGA-PBE
Structure: optimized geometry

POSCAR file:
```
MgCd2Ge2
1.0
3.8132 0.0000 0.0000
0.0000 3.8132 0.0000
1.9066 1.9066 7.7662
Mg Ge Cd
1 2 2
Direct
0.0000 0.0000 0.0000
0.7500 0.2500 0.5000
0.2500 0.7500 0.5000
0.4026 0.4026 0.1948
0.5974 0.5974 0.8052
```

Total magnetization = 0.0 μB/f.u.
Space-group type = I4/mmm
Offset from the most stable computed form = 85 meV per atom
Formation enthalpy at 0 K = 160 meV/atom
Mass density = 5.80 g/cm³

# 2
Compound: MgCd2Ge
Source: Alexandria via LeMat-Bulk
Functional: GGA-PBE
Structure: optimized geometry

POSCAR file:
```
MgCd2Ge
1.0
-3.2496 -0.8801 3.1034
-1.6020 -3.0681 -2.5476
2.5692 -2.8938 1.8695
Cd Ge Mg
2 1 1
Direct
0.0000 0.5000 0.0000
0.0000 0.0000 0.5000
0.5000 0.0000 0.0000
0.5000 0.5000 0.5000
```

Total magnetization = 0.0 μB/f.u.
Space-group type = P4/mmm
Offset from the most stable computed form = 0 meV per atom
Formation enthalpy at 0 K = 8 meV/atom
Mass density = 6.32 g/cm³

# 3
Compound: MgCdGe
Source: Alexandria via LeMat-Bulk
Functional: GGA-PBE
Structure: optimized geometry

POSCAR file:
```
MgCdGe
1.0
5.3389 -0.4187 -0.2427
-1.2783 5.1041 0.0995
1.8400 -1.1957 4.7849
Cd Mg Ge
2 2 2
Direct
0.0851 0.8120 0.3222
0.0843 0.3214 0.8320
0.4598 0.3848 0.2571
0.4491 0.9288 0.7133
0.6942 0.9262 0.1330
0.6930 0.5071 0.7141
```

Total magnetization = 0.0 μB/f.u.
Space-group type = P1
Formation enthalpy at 0 K = 61 meV/atom
Mass density = 5.34 g/cm³

# 4
Compound: MgCdGe
Source: Alexandria via LeMat-Bulk
Functional: GGA-PBE
Structure: optimized geometry

POSCAR file:
```
MgCdGe
1.0
-4.8079 -5.4910 4.3704
2.3392 -2.1150 -0.0839
2.1529 2.2370 3.6643
Mg Ge Cd
2 2 2
Direct
0.8633 0.1929 0.6175
0.2142 0.6951 0.5403
0.1623 0.1951 0.0149
0.9154 0.6934 0.1428
0.5874 0.6959 0.8446
0.4901 0.1960 0.3130
```

Total magnetization = 0.0 μB/f.u.
Space-group type = P1
Formation enthalpy at 0 K = -35 meV/atom
Mass density = 5.47 g/cm³

# 5
Compound: Mg2CdGe2
Source: Alexandria via LeMat-Bulk
Functional: GGA-PBE
Structure: optimized geometry

POSCAR file:
```
Mg2CdGe2
1.0
8.3117 0.0000 0.0000
0.0000 8.3117 0.0000
0.0000 0.0000 3.0039
Mg Cd Ge
4 2 4
Direct
0.3588 0.1412 0.5000
0.6412 0.8588 0.5000
0.8588 0.3588 0.5000
0.1412 0.6412 0.5000
0.5000 0.5000 0.0000
0.0000 0.0000 0.0000
0.8440 0.6560 0.0000
0.3440 0.8440 0.0000
0.6560 0.1560 0.0000
0.1560 0.3440 0.0000
```

Total magnetization = 0.0 μB/f.u.
Space-group type = P4/mbm
Offset from the most stable computed form = 0 meV per atom
Formation enthalpy at 0 K = -41 meV/atom
Mass density = 4.90 g/cm³

# 6
Compound: MgCdGe
Source: Alexandria via LeMat-Bulk
Functional: GGA-PBE
Structure: optimized geometry

POSCAR file:
```
MgCdGe
1.0
-7.4141 1.6677 0.3295
0.1074 -2.3591 -2.3699
-2.0113 -4.7899 2.1616
Cd Ge Mg
2 2 2
Direct
0.5050 0.0522 0.9997
0.5726 0.8557 0.4912
0.2137 0.4832 0.8733
0.8639 0.4242 0.6178
0.1900 0.1948 0.4214
0.8876 0.7122 0.0697
```

Total magnetization = 0.0 μB/f.u.
Space-group type = P-1
Formation enthalpy at 0 K = 51 meV/atom
Mass density = 5.44 g/cm³